# 1
First-principles (SCAN) data for a PBEsol-optimized structure of LaBeAu2, as listed in the Alexandria database.

```
data_LaBeAu2
_chemical_formula_sum 'La2 Be2 Au4'
_cell_length_a 4.088
_cell_length_b 5.467
_cell_length_c 7.329
_cell_angle_alpha 90.00
_cell_angle_beta 90.00
_cell_angle_gamma 90.00
_symmetry_space_group_name_H-M 'I m m m'
_symmetry_Int_Tables_number 71
_symmetry_space_group_name_Hall '-I 2 2'
loop_
_atom_site_label
_atom_site_type_symbol
_atom_site_fract_x
_atom_site_fract_y
_atom_site_fract_z
_atom_site_occupancy
La1 La 0.000 0.000 0.000 1
Be1 Be 0.000 0.000 0.500 1
Au1 Au 0.000 0.500 0.192 1
```

Summary:
total energy	-376.05	eV for the cell shown
total magnetic moment	0.00	Bohr magnetons per cell
formation enthalpy at 0 K	-217	kJ/mol of formula units

# 2
First-principles (SCAN) data for a PBEsol-optimized structure of Ca2LaP, as listed in the Alexandria database.

```
data_Ca2LaP
_chemical_formula_sum 'Ca4 La2 P2'
_cell_length_a 5.813
_cell_length_b 12.165
_cell_length_c 3.962
_cell_angle_alpha 90.00
_cell_angle_beta 90.00
_cell_angle_gamma 90.00
_symmetry_space_group_name_H-M 'C m m m'
_symmetry_Int_Tables_number 65
_symmetry_space_group_name_Hall '-C 2 2'
loop_
_atom_site_label
_atom_site_type_symbol
_atom_site_fract_x
_atom_site_fract_y
_atom_site_fract_z
_atom_site_occupancy
Ca1 Ca 0.000 0.160 0.000 1
La1 La 0.000 0.500 0.500 1
P1 P 0.000 0.000 0.500 1
```

Summary:
total energy	-150.94	eV for the cell shown
total magnetic moment	0.00	Bohr magnetons per cell
formation enthalpy at 0 K	-255	kJ/mol of formula units

# 3
First-principles (SCAN) data for a PBEsol-optimized structure of ZrNi2Cl2, as listed in the Alexandria database.

```
data_ZrNi2Cl2
_chemical_formula_sum 'Zr2 Ni4 Cl4'
_cell_length_a 3.141
_cell_length_b 3.141
_cell_length_c 18.806
_cell_angle_alpha 90.00
_cell_angle_beta 90.00
_cell_angle_gamma 90.00
_symmetry_space_group_name_H-M 'I 4/m m m'
_symmetry_Int_Tables_number 139
_symmetry_space_group_name_Hall '-I 4 2'
loop_
_atom_site_label
_atom_site_type_symbol
_atom_site_fract_x
_atom_site_fract_y
_atom_site_fract_z
_atom_site_occupancy
Zr1 Zr 0.000 0.000 0.000 1
Ni1 Ni 0.000 0.500 0.250 1
Cl1 Cl 0.000 0.000 0.419 1
```

Summary:
formation energy from raw total energies	-329	meV/atom
total energy	-161.29	eV for the cell shown
total magnetic moment	4.80	Bohr magnetons per cell